VASP calculation (PBE-GGA) on a relaxed Zr8C3N4 crystal.

Lattice parameters (Å, degrees): 6.592 6.592 6.593 119.92 119.92 90.10
Sites, in units of the cell vectors:
1 Zr 0.243 0.243 0.486
2 Zr 0.244 0.244 0.000
3 Zr 0.244 0.756 0.000
4 Zr 0.251 0.749 0.500
5 Zr 0.749 0.251 0.500
6 Zr 0.756 0.244 0.000
7 Zr 0.756 0.756 0.000
8 Zr 0.757 0.757 0.514
9 C 0.000 0.500 0.000
10 C 0.500 0.000 0.000
11 C 0.500 0.500 0.500
12 N 0.000 0.000 0.000
13 N 0.000 0.000 0.500
14 N 0.000 0.500 0.500
15 N 0.500 0.000 0.500

Output
Its uncorrected energy is -0.3640 Ha/atom. The space group is C2/m (12). For the magnetic moment, the calculation gives 0.00 μB/f.u. The formation energy (no corrections) comes out at -1281 meV per atom.